Below is a relaxed YMnO2 crystal, with properties calculated at the GGA+U level.

Cell: 4.055 4.055 4.055 Å, 60.00 60.00 60.00°
Site moments in Bohr magnetons follow the coordinates.
Sites, in units of the cell vectors:
O (0.750, 0.750, 0.750)  0.05
O (0.250, 0.250, 0.250)  0.05
Mn (0.000, 0.000, 0.000)  4.09
Y (0.500, 0.500, 0.500)  -0.24

Values from the calculation:
* DOS at the Fermi energy: 0.44 states/eV/atom
* V: 11.791 Å³/atom
* energy: -7.69 eV/atom
* crystal system: cubic
* total magnetization: 4.01 μB per formula unit
* SG: Fm-3m